(1)
# LiCrMo2 | the Alexandria database | PBE | optimized geometry
data_LiCrMo2
_chemical_formula_sum 'Li1 Cr1 Mo2'
_symmetry_space_group_name_H-M 'P 1 2/m 1'
_symmetry_Int_Tables_number 10
_cell_length_a 2.582
_cell_length_b 4.243
_cell_length_c 5.240
_cell_angle_alpha 90.00
_cell_angle_beta 100.07
_cell_angle_gamma 90.00
loop_
_symmetry_equiv_pos_as_xyz
'x,y,z'
'-x,-y,-z'
'-x,y,-z'
'x,-y,z'
loop_
_atom_site_label
_atom_site_fract_x
_atom_site_fract_y
_atom_site_fract_z
Li1 0.000 0.000 0.000
Cr1 0.500 0.000 0.500
Mo1 0.238 0.500 0.742
# D(E_F) = 3.72 states/eV/cell

***

(2)
# LiCrMo2 | the Alexandria database | PBE | optimized geometry
data_LiCrMo2
_chemical_formula_sum 'Li2 Cr2 Mo4'
_symmetry_space_group_name_H-M 'C m m m'
_symmetry_Int_Tables_number 65
_symmetry_space_group_name_Hall '-C 2 2'
_cell_length_a 3.075
_cell_length_b 4.279
_cell_length_c 8.947
_cell_angle_alpha 90.00
_cell_angle_beta 90.00
_cell_angle_gamma 90.00
loop_
_atom_site_label
_atom_site_fract_x
_atom_site_fract_y
_atom_site_fract_z
Li1 0.000 0.000 0.000
Cr1 0.000 0.000 0.500
Mo1 0.000 0.500 0.269
# D(E_F) = 6.42 states/eV/cell

***

According to the calculations, the structures order from most to least stable as (2), (1).

***

(1)
# LiCrMo2 | the Alexandria database | PBE | optimized geometry
data_LiCrMo2
_chemical_formula_sum 'Li1 Cr1 Mo2'
_symmetry_space_group_name_H-M 'P 4/m m m'
_symmetry_Int_Tables_number 123
_symmetry_space_group_name_Hall '-P 4 2'
_cell_length_a 2.971
_cell_length_b 2.971
_cell_length_c 6.385
_cell_angle_alpha 90.00
_cell_angle_beta 90.00
_cell_angle_gamma 90.00
loop_
_atom_site_label
_atom_site_fract_x
_atom_site_fract_y
_atom_site_fract_z
Li1 0.000 0.000 0.000
Cr1 0.000 0.000 0.500
Mo1 0.500 0.500 0.270
# D(E_F) = 2.26 states/eV/cell

***

(2)
# LiCrMo2 | the Alexandria database | PBE | optimized geometry
data_LiCrMo2
_chemical_formula_sum 'Li1 Cr1 Mo2'
_symmetry_space_group_name_H-M 'P 1 m 1'
_symmetry_Int_Tables_number 6
_cell_length_a 2.578
_cell_length_b 4.378
_cell_length_c 5.038
_cell_angle_alpha 90.00
_cell_angle_beta 98.19
_cell_angle_gamma 90.00
loop_
_symmetry_equiv_pos_as_xyz
'x,y,z'
'x,-y,z'
loop_
_atom_site_label
_atom_site_fract_x
_atom_site_fract_y
_atom_site_fract_z
Li1 0.000 0.000 0.000
Cr1 0.189 0.500 0.740
Mo1 0.454 0.000 0.513
Mo2 0.705 0.500 0.242
# D(E_F) = 3.56 states/eV/cell

***

(3)
# LiCrMo2 | the Alexandria database | PBE | optimized geometry
data_LiCrMo2
_chemical_formula_sum 'Li4 Cr4 Mo8'
_symmetry_space_group_name_H-M 'I -4 2 d'
_symmetry_Int_Tables_number 122
_symmetry_space_group_name_Hall 'I -4 2bw'
_cell_length_a 6.701
_cell_length_b 6.701
_cell_length_c 5.274
_cell_angle_alpha 90.00
_cell_angle_beta 90.00
_cell_angle_gamma 90.00
loop_
_atom_site_label
_atom_site_fract_x
_atom_site_fract_y
_atom_site_fract_z
Li1 0.000 0.000 0.000
Cr1 0.000 0.000 0.500
Mo1 0.231 0.250 0.625
# D(E_F) = 15.92 states/eV/cell

***

According to the calculations, the structures order from most to least stable as (2), (1), (3).

***

(1)
# LiCrMo2 | the Alexandria database | PBE | optimized geometry
data_LiCrMo2
_chemical_formula_sum 'Li1 Cr1 Mo2'
_symmetry_space_group_name_H-M 'P m m 2'
_symmetry_Int_Tables_number 25
_cell_length_a 2.502
_cell_length_b 4.333
_cell_length_c 5.275
_cell_angle_alpha 90.00
_cell_angle_beta 90.00
_cell_angle_gamma 90.00
loop_
_symmetry_equiv_pos_as_xyz
'x,y,z'
'-x,-y,z'
'-x,y,z'
'x,-y,z'
loop_
_atom_site_label
_atom_site_fract_x
_atom_site_fract_y
_atom_site_fract_z
Li1 0.000 0.000 0.000
Cr1 0.500 0.500 0.758
Mo1 0.000 0.000 0.511
Mo2 0.500 0.500 0.238
# D(E_F) = 3.29 states/eV/cell

***

(2)
# LiCrMo2 | the Alexandria database | PBE | optimized geometry
data_LiCrMo2
_chemical_formula_sum 'Li1 Cr1 Mo2'
_symmetry_space_group_name_H-M 'P 4 m m'
_symmetry_Int_Tables_number 99
_cell_length_a 3.151
_cell_length_b 3.151
_cell_length_c 5.668
_cell_angle_alpha 90.00
_cell_angle_beta 90.00
_cell_angle_gamma 90.00
loop_
_symmetry_equiv_pos_as_xyz
'x,y,z'
'-y,x,z'
'-x,-y,z'
'y,-x,z'
'-x,y,z'
'y,x,z'
'x,-y,z'
'-y,-x,z'
loop_
_atom_site_label
_atom_site_fract_x
_atom_site_fract_y
_atom_site_fract_z
Li1 0.000 0.000 0.000
Cr1 0.500 0.500 0.766
Mo1 0.000 0.000 0.516
Mo2 0.500 0.500 0.252
# D(E_F) = 3.34 states/eV/cell

***

(3)
# LiCrMo2 | the Alexandria database | PBE | optimized geometry
data_LiCrMo2
_chemical_formula_sum 'Li2 Cr2 Mo4'
_symmetry_space_group_name_H-M 'C 1 2/m 1'
_symmetry_Int_Tables_number 12
_cell_length_a 5.391
_cell_length_b 8.526
_cell_length_c 2.568
_cell_angle_alpha 90.00
_cell_angle_beta 107.50
_cell_angle_gamma 90.00
loop_
_symmetry_equiv_pos_as_xyz
'x,y,z'
'-x,-y,-z'
'-x,y,-z'
'x,-y,z'
'x+1/2,y+1/2,z'
'-x+1/2,-y+1/2,-z'
'-x+1/2,y+1/2,-z'
'x+1/2,-y+1/2,z'
loop_
_atom_site_label
_atom_site_fract_x
_atom_site_fract_y
_atom_site_fract_z
Li1 0.000 0.000 0.000
Cr1 0.000 0.500 0.000
Mo1 0.250 0.250 0.500
# D(E_F) = 7.96 states/eV/cell

***

According to the calculations, the structures order from most to least stable as (3), (2), (1).

***

(1)
# LiCrMo2 | the Alexandria database | PBE | optimized geometry
data_LiCrMo2
_chemical_formula_sum 'Li3 Cr3 Mo6'
_symmetry_space_group_name_H-M 'R -3 m'
_symmetry_Int_Tables_number 166
_symmetry_space_group_name_Hall '-R 3 2"'
_cell_length_a 2.7017
_cell_length_b 2.7017
_cell_length_c 28.4942
_cell_angle_alpha 90.00
_cell_angle_beta 90.00
_cell_angle_gamma 120.00
loop_
_atom_site_label
_atom_site_fract_x
_atom_site_fract_y
_atom_site_fract_z
Li1 0.0000 0.0000 0.0000
Cr1 0.0000 0.0000 0.5000
Mo1 0.0000 0.0000 0.2450
# D(E_F) = 9.13 states/eV/cell

***

(2)
# LiCrMo2 | the Alexandria database | PBE | optimized geometry
data_LiCrMo2
_chemical_formula_sum 'Li2 Cr2 Mo4'
_symmetry_space_group_name_H-M 'I m m m'
_symmetry_Int_Tables_number 71
_symmetry_space_group_name_Hall '-I 2 2'
_cell_length_a 3.098
_cell_length_b 4.368
_cell_length_c 8.433
_cell_angle_alpha 90.00
_cell_angle_beta 90.00
_cell_angle_gamma 90.00
loop_
_atom_site_label
_atom_site_fract_x
_atom_site_fract_y
_atom_site_fract_z
Li1 0.000 0.000 0.000
Cr1 0.000 0.000 0.500
Mo1 0.000 0.500 0.232
# D(E_F) = 8.00 states/eV/cell

***

According to the calculations, the structures order from most to least stable as (2), (1).

***

(1)
# Li2CrMo | the Alexandria database | PBE | optimized geometry
data_Li2CrMo
_chemical_formula_sum 'Li2 Cr1 Mo1'
_symmetry_space_group_name_H-M 'P m m m'
_symmetry_Int_Tables_number 47
_cell_length_a 2.474
_cell_length_b 4.719
_cell_length_c 4.845
_cell_angle_alpha 90.00
_cell_angle_beta 90.00
_cell_angle_gamma 90.00
loop_
_symmetry_equiv_pos_as_xyz
'x,y,z'
'-x,-y,-z'
'-x,-y,z'
'x,y,-z'
'x,-y,-z'
'-x,y,z'
'-x,y,-z'
'x,-y,z'
loop_
_atom_site_label
_atom_site_fract_x
_atom_site_fract_y
_atom_site_fract_z
Li1 0.000 0.000 0.247
Cr1 0.500 0.500 0.000
Mo1 0.500 0.500 0.500
# D(E_F) = 2.83 states/eV/cell

***

(2)
# Li2CrMo | the Alexandria database | PBE | optimized geometry
data_Li2CrMo
_chemical_formula_sum 'Li2 Cr1 Mo1'
_symmetry_space_group_name_H-M 'P m m 2'
_symmetry_Int_Tables_number 25
_cell_length_a 2.409
_cell_length_b 4.229
_cell_length_c 5.751
_cell_angle_alpha 90.00
_cell_angle_beta 90.00
_cell_angle_gamma 90.00
loop_
_symmetry_equiv_pos_as_xyz
'x,y,z'
'-x,-y,z'
'-x,y,z'
'x,-y,z'
loop_
_atom_site_label
_atom_site_fract_x
_atom_site_fract_y
_atom_site_fract_z
Li1 0.000 0.000 0.000
Li2 0.500 0.500 0.226
Cr1 0.500 0.500 0.715
Mo1 0.000 0.000 0.520
# D(E_F) = 3.48 states/eV/cell

***

According to the calculations, the structures order from most to least stable as (2), (1).